Density functional theory data (PBE) for a relaxed structure of BeReP2.

Cell lengths 6.721, 6.721, 6.721 Å; angles 26.26, 26.26, 26.26 degrees
Element x y z (fractional)
Re  0.250  0.250  0.250
Be  0.750  0.750  0.750
P  0.005  0.005  0.005
P  0.495  0.495  0.495

Computed properties:
- DFT formation energy: 0.2 eV/f.u.

---

Density functional theory data (PBE) for a relaxed structure of BeReP2.

Cell lengths 4.474, 4.474, 4.474 Å; angles 138.73, 122.71, 73.02 degrees
Element x y z (fractional)
Re  0.750  0.250  0.500
P  0.041  0.041  0.000
P  0.459  0.459  0.000
Be  0.250  0.750  0.500

Computed properties:
- DFT formation energy: 0.5 eV/f.u.

---

no.,electronic total energy (eV/atom)
1,-6.693
2,-6.627